1.
DFT (GGA-PBE) results for a relaxed BaSi2Hg crystal. Values from VASP.

Calculated values
For the calculated total energy, the calculation gives -3.016 eV/atom. The space-group type is No. 216. As for the volume: 26.17 A^3/atom.

The structure in Quantum ESPRESSO input format:
```
&SYSTEM
  ibrav = 0, nat = 4, ntyp = 3
/
ATOMIC_SPECIES
Ba 137.33 Ba.upf
Hg 200.59 Hg.upf
Si 28.09 Si.upf
ATOMIC_POSITIONS crystal
Ba 0.750 0.750 0.750
Hg 0.500 0.500 0.500
Si 0.000 0.000 0.000
Si 0.250 0.250 0.250
CELL_PARAMETERS angstrom
0.000 3.740 3.740
3.740 0.000 3.740
3.740 3.740 0.000
```

---

2.
DFT (GGA-PBE) results for a relaxed La2TbMg3Ir2Pt crystal. Values from VASP.

Calculated values
For the calculated total energy, the calculation gives -5.518 eV/atom. The space-group type is No. 38. As for the volume: 22.19 A^3/atom.

The structure in Quantum ESPRESSO input format:
```
&SYSTEM
  ibrav = 0, nat = 9, ntyp = 5
/
ATOMIC_SPECIES
Ir 192.22 Ir.upf
La 138.91 La.upf
Mg 24.30 Mg.upf
Pt 195.08 Pt.upf
Tb 158.93 Tb.upf
ATOMIC_POSITIONS crystal
Ir 0.500 0.663 0.337
Ir 0.500 0.337 0.663
La 0.000 0.419 0.001
La 0.000 0.001 0.419
Mg 0.500 0.247 0.247
Mg 0.500 0.994 0.757
Mg 0.500 0.757 0.994
Pt 0.000 0.992 0.992
Tb 0.000 0.589 0.589
CELL_PARAMETERS angstrom
-1.858 0.616 3.617
6.694 0.480 3.357
-3.320 6.142 -2.751
```

---

3.
DFT (GGA-PBE) results for a relaxed Ho2Tm3Lu3 crystal. Values from VASP.

Calculated values
The space-group type is No. 187. As for the volume: 29.82 A^3/atom. The calculation puts the energy of formation from the pure elements at 0.000 eV/atom.

The structure in Quantum ESPRESSO input format:
```
&SYSTEM
  ibrav = 0, nat = 8, ntyp = 3
/
ATOMIC_SPECIES
Ho 164.93 Ho.upf
Lu 174.97 Lu.upf
Tm 168.93 Tm.upf
ATOMIC_POSITIONS crystal
Ho 0.000 0.000 0.000
Ho 0.333 0.667 0.500
Lu 0.334 0.167 0.500
Lu 0.833 0.167 0.500
Lu 0.833 0.666 0.500
Tm 0.500 0.001 0.000
Tm 0.999 0.500 0.000
Tm 0.500 0.500 0.000
CELL_PARAMETERS angstrom
7.080 0.000 0.000
-3.540 6.132 0.000
0.000 0.000 5.496
```

---

4.
DFT (GGA-PBE) results for a relaxed ErPu2 crystal. Values from VASP.

Calculated values
The space-group type is No. 227. As for the volume: 119.50 A^3/atom. The calculation puts the energy of formation from the pure elements at 2.364 eV/atom.

The structure in Quantum ESPRESSO input format:
```
&SYSTEM
  ibrav = 0, nat = 6, ntyp = 2
/
ATOMIC_SPECIES
Er 167.26 Er.upf
Pu 244.00 Pu.upf
ATOMIC_POSITIONS crystal
Er 0.250 0.250 0.250
Er 0.500 0.500 0.500
Pu 0.875 0.375 0.375
Pu 0.375 0.875 0.375
Pu 0.375 0.375 0.375
Pu 0.375 0.375 0.875
CELL_PARAMETERS angstrom
5.023 2.900 8.204
-5.023 2.900 8.204
0.000 -5.800 8.204
```

---

5.
DFT (GGA-PBE) results for a relaxed Y2CoH6Pt crystal. Values from VASP.

Calculated values
For the calculated total energy, the calculation gives -5.094 eV/atom. The space-group type is No. 225. As for the volume: 9.38 A^3/atom.

The structure in Quantum ESPRESSO input format:
```
&SYSTEM
  ibrav = 0, nat = 10, ntyp = 4
/
ATOMIC_SPECIES
Co 58.93 Co.upf
H 1.01 H.upf
Pt 195.08 Pt.upf
Y 88.91 Y.upf
ATOMIC_POSITIONS crystal
Co 0.000 0.000 0.000
H 0.769 0.769 0.231
H 0.769 0.231 0.231
H 0.231 0.769 0.231
H 0.231 0.231 0.769
H 0.769 0.231 0.769
H 0.231 0.769 0.769
Pt 0.500 0.500 0.500
Y 0.250 0.250 0.250
Y 0.750 0.750 0.750
CELL_PARAMETERS angstrom
2.730 -2.832 -3.246
3.363 -3.394 1.783
-0.939 -4.994 -0.440
```

---

6.
DFT (GGA-PBE) results for a relaxed LaPIr2Pb crystal. Values from VASP.

Calculated values
For the calculated total energy, the calculation gives -6.950 eV/atom. The space-group type is No. 129. As for the volume: 20.64 A^3/atom.

The structure in Quantum ESPRESSO input format:
```
&SYSTEM
  ibrav = 0, nat = 10, ntyp = 4
/
ATOMIC_SPECIES
Ir 192.22 Ir.upf
La 138.91 La.upf
P 30.97 P.upf
Pb 207.20 Pb.upf
ATOMIC_POSITIONS crystal
Ir 0.000 0.000 0.000
Ir 0.500 0.500 0.000
Ir 0.500 0.000 0.412
Ir 0.000 0.500 0.588
La 0.000 0.500 0.282
La 0.500 0.000 0.718
P 0.000 0.000 0.500
P 0.500 0.500 0.500
Pb 0.500 0.000 0.148
Pb 0.000 0.500 0.852
CELL_PARAMETERS angstrom
-2.150 -2.453 -3.017
3.060 -3.195 0.418
-5.646 -4.412 7.609
```